Entry 1:
Computed, not measured: an optimized crystal structure of InS6F2 at the PBE level of DFT.

Computed properties:
- uncorrected formation energy (meV per atom) = -601
- space group = P-1 (2)

Geometry as POSCAR:
```
InS6F2
1.0
3.4553 0.0000 0.0000
0.4372 8.2338 0.0000
1.4922 3.0804 7.5730
In S F
1 6 2
direct
0.0000 0.0000 0.0000
0.0701 0.7182 0.7650
0.1566 0.9802 0.6930
0.1790 0.6533 0.5615
0.8210 0.3467 0.4385
0.8434 0.0198 0.3070
0.9299 0.2818 0.2350
0.4892 0.8226 0.0810
0.5108 0.1774 0.9190
```

---

Entry 2:
Computed, not measured: an optimized crystal structure of Pr2NdGe4Pt3 at the PBE level of DFT.

Computed properties:
- space group = P-4m2 (115)
- VASP energy (eV per atom) = -5.954

Geometry as POSCAR:
```
Pr2NdGe4Pt3
1.0
4.3708 0.0000 0.0000
0.0000 4.3708 0.0000
0.0000 0.0000 11.4120
Pr Nd Ge Pt
2 1 4 3
direct
0.0000 0.5000 0.2254
0.5000 0.0000 0.7746
0.0000 0.0000 0.5000
0.0000 0.0000 0.0000
0.0000 0.5000 0.6699
0.5000 0.0000 0.3301
0.5000 0.5000 0.0000
0.0000 0.5000 0.8872
0.5000 0.0000 0.1128
0.5000 0.5000 0.5000
```

---

Entry 3:
Computed, not measured: an optimized crystal structure of PuCoCuRh at the PBE level of DFT.

Computed properties:
- space group = F-43m (216)
- VASP energy (eV per atom) = -8.328

Geometry as POSCAR:
```
PuCoCuRh
1.0
0.0000 3.1442 3.1442
3.1442 0.0000 3.1442
3.1442 3.1442 0.0000
Pu Co Cu Rh
1 1 1 1
direct
0.0000 0.0000 0.0000
0.7500 0.7500 0.7500
0.5000 0.5000 0.5000
0.2500 0.2500 0.2500
```

---

Entry 4:
Computed, not measured: an optimized crystal structure of Th2CuNi12P3 at the PBE level of DFT.

Computed properties:
- space group = R-3m (166)
- VASP energy (eV per atom) = -5.960

Geometry as POSCAR:
```
Th2CuNi12P3
1.0
3.9566 2.2843 5.0925
-3.9566 2.2843 5.0925
0.0000 -4.5686 5.0925
Th Cu Ni P
2 1 12 3
direct
0.1232 0.1232 0.1232
0.8768 0.8768 0.8768
0.5000 0.5000 0.5000
0.1367 0.6369 0.6369
0.2139 0.2139 0.6563
0.2139 0.6563 0.2139
0.3437 0.7861 0.7861
0.3631 0.3631 0.8633
0.3631 0.8633 0.3631
0.6369 0.1367 0.6369
0.6369 0.6369 0.1367
0.6563 0.2139 0.2139
0.7861 0.3437 0.7861
0.7861 0.7861 0.3437
0.8633 0.3631 0.3631
0.0000 0.5000 0.5000
0.5000 0.0000 0.5000
0.5000 0.5000 0.0000
```

---

Entry 5:
Computed, not measured: an optimized crystal structure of La2DyTl at the PBE level of DFT.

Computed properties:
- space group = Fm-3m (225)
- offset from the most stable computed form (eV/f.u.) = 0.47

Geometry as POSCAR:
```
La2DyTl
1.0
0.0000 4.0116 4.0116
4.0116 0.0000 4.0116
4.0116 4.0116 0.0000
La Dy Tl
2 1 1
direct
0.2500 0.2500 0.2500
0.7500 0.7500 0.7500
0.0000 0.0000 0.0000
0.5000 0.5000 0.5000
```

---

Entry 6:
Computed, not measured: an optimized crystal structure of RbAg2As2 at the PBE level of DFT.

Computed properties:
- space group = P4/mbm (127)
- offset from the most stable computed form (eV/f.u.) = 1.01

Geometry as POSCAR:
```
RbAg2As2
1.0
8.6702 0.0000 0.0000
0.0000 8.6702 0.0000
0.0000 0.0000 3.0036
Rb Ag As
2 4 4
direct
0.0000 0.0000 0.0000
0.5000 0.5000 0.0000
0.1282 0.3718 0.0000
0.3718 0.8718 0.0000
0.6282 0.1282 0.0000
0.8718 0.6282 0.0000
0.1586 0.6586 0.5000
0.3414 0.1586 0.5000
0.6586 0.8414 0.5000
0.8414 0.3414 0.5000
```

---

Entry 7:
Computed, not measured: an optimized crystal structure of BaMg3Ir at the PBE level of DFT.

Computed properties:
- space group = Pm-3m (221)
- offset from the most stable computed form (eV/f.u.) = 11.19

Geometry as POSCAR:
```
BaMg3Ir
1.0
6.6130 0.0000 0.0000
0.0000 6.6130 0.0000
0.0000 0.0000 6.6130
Ba Mg Ir
1 3 1
direct
0.0000 0.0000 0.0000
0.0000 0.0000 0.5000
0.0000 0.5000 0.0000
0.5000 0.0000 0.0000
0.5000 0.5000 0.5000
```

---

Entry 8:
Computed, not measured: an optimized crystal structure of Li2TiPd2 at the PBE level of DFT.

Computed properties:
- space group = P4/mbm (127)
- offset from the most stable computed form (eV/f.u.) = 0.48

Geometry as POSCAR:
```
Li2TiPd2
1.0
7.0814 0.0000 0.0000
0.0000 7.0814 0.0000
0.0000 0.0000 2.7987
Li Ti Pd
4 2 4
direct
0.1108 0.3892 0.0000
0.3892 0.8892 0.0000
0.6108 0.1108 0.0000
0.8892 0.6108 0.0000
0.0000 0.0000 0.0000
0.5000 0.5000 0.0000
0.1897 0.6897 0.5000
0.3103 0.1897 0.5000
0.6897 0.8103 0.5000
0.8103 0.3103 0.5000
```

---

Entry 9:
Computed, not measured: an optimized crystal structure of K2NaScCl6 at the PBE level of DFT.

Computed properties:
- uncorrected formation energy (meV per atom) = -2007
- space group = Fm-3m (225)

Geometry as POSCAR:
```
K2NaScCl6
1.0
0.0000 5.2154 5.2154
5.2154 0.0000 5.2154
5.2154 5.2154 0.0000
K Na Sc Cl
2 1 1 6
direct
0.2500 0.2500 0.2500
0.7500 0.7500 0.7500
0.0000 0.0000 0.0000
0.5000 0.5000 0.5000
0.2613 0.2613 0.7387
0.2613 0.7387 0.2613
0.2613 0.7387 0.7387
0.7387 0.2613 0.2613
0.7387 0.2613 0.7387
0.7387 0.7387 0.2613
```

---

Entry 10:
Computed, not measured: an optimized crystal structure of TiSnS2 at the PBE level of DFT.

Computed properties:
- uncorrected formation energy (meV per atom) = -662
- space group = R3m (160)

Geometry as POSCAR:
```
TiSnS2
1.0
1.8058 1.0426 8.6799
-1.8058 1.0426 8.6799
0.0000 -2.0851 8.6799
Ti Sn S
1 1 2
direct
0.0000 0.0000 0.0000
0.5099 0.5099 0.5099
0.3758 0.3758 0.3758
0.9117 0.9117 0.9117
```

---

Entry 11:
Computed, not measured: an optimized crystal structure of La5Pm2In at the PBE level of DFT.

Computed properties:
- space group = Pbam (55)
- offset from the most stable computed form (eV/f.u.) = 0.15

Geometry as POSCAR:
```
La5Pm2In
1.0
7.3100 0.0000 0.0000
0.0000 14.8207 0.0000
0.0000 0.0000 4.9991
La Pm In
10 4 2
direct
0.0000 0.0000 0.0000
0.0034 0.2580 0.0000
0.2490 0.3775 0.5000
0.2510 0.8775 0.5000
0.4966 0.7580 0.0000
0.5000 0.5000 0.0000
0.5034 0.2420 0.0000
0.7490 0.1225 0.5000
0.7510 0.6225 0.5000
0.9966 0.7420 0.0000
0.2361 0.6170 0.5000
0.2639 0.1170 0.5000
0.7361 0.8830 0.5000
0.7639 0.3830 0.5000
0.0000 0.5000 0.0000
0.5000 0.0000 0.0000
```

---

Entry 12:
Computed, not measured: an optimized crystal structure of MgCdGa2Ni at the PBE level of DFT.

Computed properties:
- space group = P4/mmm (123)
- VASP energy (eV per atom) = -2.951

Geometry as POSCAR:
```
MgCdGa2Ni
1.0
4.5709 0.0000 0.0000
0.0000 4.5709 0.0000
0.0000 0.0000 4.9512
Mg Cd Ga Ni
1 1 2 1
direct
0.0000 0.0000 0.0000
0.5000 0.5000 0.0000
0.0000 0.5000 0.5000
0.5000 0.0000 0.5000
0.0000 0.0000 0.5000
```